--- A ---
DFT (PBE) results for a geometry-optimized Re2Si2Sb structure.

The structure belongs to space group I4/mmm (No. 139); the cell edges are 3.5132, 3.5132 and 13.0348 Å and the angles 90.00°, 90.00° and 90.00°. Symmetry generates all atoms from Re at (0.0000, 0.0000, 0.1160), Si at (0.0000, 0.5000, 0.2500) and Sb at (0.0000, 0.0000, 0.5000).

The total magnetization is 0.0 Bohr magnetons per cell.

---

--- B ---
DFT (PBE) results for a geometry-optimized Re2Si2Sb structure.

The structure belongs to space group P4/mbm (No. 127); the cell edges are 7.4016, 7.4016 and 2.9023 Å and the angles 90.00°, 90.00° and 90.00°. Symmetry generates all atoms from Re at (0.1481, 0.3519, 0.0000), Si at (0.1400, 0.6400, 0.5000) and Sb at (0.0000, 0.0000, 0.0000).

The total magnetization is 0.0 Bohr magnetons per cell.

---

Which of them is the most stable? Correct choice: A.

---

--- A ---
DFT (PBE) results for a geometry-optimized ReSiSb2Te structure.

The structure belongs to space group P4/mmm (No. 123); the cell edges are 5.1164, 5.1164 and 5.0960 Å and the angles 90.00°, 90.00° and 90.00°. Symmetry generates all atoms from Re at (0.0000, 0.0000, 0.0000), Si at (0.5000, 0.5000, 0.5000), Sb at (0.0000, 0.5000, 0.5000) and Te at (0.5000, 0.5000, 0.0000).

The total magnetization is 3.1 Bohr magnetons per cell.

---

--- B ---
DFT (PBE) results for a geometry-optimized ReSiSb2Te structure.

The structure belongs to space group P4/mmm (No. 123); the cell edges are 5.0739, 5.0739 and 5.5096 Å and the angles 90.00°, 90.00° and 90.00°. Symmetry generates all atoms from Re at (0.0000, 0.0000, 0.0000), Si at (0.5000, 0.5000, 0.5000), Sb at (0.0000, 0.5000, 0.0000) and Te at (0.0000, 0.0000, 0.5000).

The total magnetization is 0.0 Bohr magnetons per cell.

---

Which of them is the most stable? Correct choice: B.

---

--- A ---
DFT (PBE) results for a geometry-optimized Re2SnSb structure.

The structure belongs to space group Fm-3m (No. 225); the cell edges are 6.5480, 6.5480 and 6.5480 Å and the angles 90.00°, 90.00° and 90.00°. Symmetry generates all atoms from Re at (0.2500, 0.2500, 0.2500), Sn at (0.0000, 0.0000, 0.0000) and Sb at (0.0000, 0.0000, 0.5000).

The total magnetization is 0.0 Bohr magnetons per cell.

---

--- B ---
DFT (PBE) results for a geometry-optimized Re2SnSb structure.

The structure belongs to space group I-42d (No. 122); the cell edges are 7.6285, 7.6285 and 5.5473 Å and the angles 90.00°, 90.00° and 90.00°. Symmetry generates all atoms from Re at (0.2388, 0.2500, 0.1250), Sn at (0.0000, 0.0000, 0.5000) and Sb at (0.0000, 0.0000, 0.0000).

The total magnetization is 0.0 Bohr magnetons per cell.

---

Which of them is the most stable? Correct choice: A.

---

--- A ---
DFT (PBE) results for a geometry-optimized ReSnSbTe2 structure.

The structure belongs to space group P4/mmm (No. 123); the cell edges are 5.3377, 5.3377 and 5.1365 Å and the angles 90.00°, 90.00° and 90.00°. Symmetry generates all atoms from Re at (0.0000, 0.0000, 0.0000), Sn at (0.5000, 0.5000, 0.5000), Sb at (0.0000, 0.0000, 0.5000) and Te at (0.0000, 0.5000, 0.0000).

The total magnetization is 0.0 Bohr magnetons per cell.

---

--- B ---
DFT (PBE) results for a geometry-optimized ReSnSbTe2 structure.

The structure belongs to space group P4/mmm (No. 123); the cell edges are 5.6285, 5.6285 and 5.6786 Å and the angles 90.00°, 90.00° and 90.00°. Symmetry generates all atoms from Re at (0.0000, 0.0000, 0.0000), Sn at (0.5000, 0.5000, 0.5000), Sb at (0.5000, 0.5000, 0.0000) and Te at (0.0000, 0.5000, 0.5000).

The total magnetization is 4.0 Bohr magnetons per cell.

---

Which of them is the most stable? Correct choice: A.